1.
## LaScBe3 (GGA-PBE)

Data for LaScBe3 after structural relaxation.

Properties
Space-group type: Pm-3m
E above lowest polymorph in eV/atom: 0.679
Calculated formation energy in kJ per mole of atoms: 150.9

abc: 4.8096 4.8096 4.8096
angles: 90.00 90.00 90.00
Fractional coordinates of all 5 atoms:
Sc  0.5000  0.5000  0.5000
Be  0.0000  0.5000  0.0000
Be  0.0000  0.0000  0.5000
Be  0.5000  0.0000  0.0000
La  0.0000  0.0000  0.0000



2.
## La2ScBe (GGA-PBE)

Data for La2ScBe after structural relaxation.

Properties
Space-group type: I4/mmm
Calculated formation energy in kJ per mole of atoms: 24.8

abc: 5.6940 5.6940 5.6940
angles: 130.79 130.79 72.14
Fractional coordinates of all 4 atoms:
Sc  0.2500  0.7500  0.5000
Be  0.7500  0.2500  0.5000
La  0.0000  0.0000  0.0000
La  0.5000  0.5000  0.0000



3.
## La2ScBe (GGA-PBE)

Data for La2ScBe after structural relaxation.

Properties
Space-group type: Cm
Calculated formation energy in kJ per mole of atoms: 11.2

abc: 6.3862 6.3862 5.3163
angles: 65.40 65.40 32.78
Fractional coordinates of all 4 atoms:
Sc  0.4487  0.4487  0.5528
Be  0.7699  0.7699  0.7277
La  0.0383  0.0383  0.9632
La  0.2431  0.2431  0.2563



4.
## LaScBe2 (GGA-PBE)

Data for LaScBe2 after structural relaxation.

Properties
Space-group type: R3m
E above lowest polymorph in eV/atom: 0.000
Calculated formation energy in kJ per mole of atoms: 6.0

abc: 6.3002 6.3002 6.3002
angles: 36.95 36.95 36.95
Fractional coordinates of all 4 atoms:
Sc  0.7070  0.7070  0.7070
Be  0.9705  0.9705  0.9705
Be  0.3039  0.3039  0.3039
La  0.5186  0.5186  0.5186



5.
## LaScBe2 (GGA-PBE)

Data for LaScBe2 after structural relaxation.

Properties
Space-group type: R-3m
E above lowest polymorph in eV/atom: 0.438
Calculated formation energy in kJ per mole of atoms: 48.3

abc: 8.5746 8.5746 8.5746
angles: 22.99 22.99 22.99
Fractional coordinates of all 4 atoms:
Sc  0.7500  0.7500  0.7500
Be  0.0094  0.0094  0.0094
Be  0.4906  0.4906  0.4906
La  0.2500  0.2500  0.2500



6.
## LaScBe (GGA-PBE)

Data for LaScBe after structural relaxation.

Properties
Space-group type: C2/m
E above lowest polymorph in eV/atom: 0.000
Calculated formation energy in kJ per mole of atoms: 7.8

abc: 3.8788 6.5393 5.8419
angles: 84.75 90.02 107.23
Fractional coordinates of all 6 atoms:
Sc  0.7510  0.8538  0.3763
Sc  0.0994  0.5500  0.7104
Be  0.1707  0.6929  0.1390
Be  0.6797  0.7106  0.9483
La  0.3639  0.0795  0.8166
La  0.4862  0.3241  0.2702



7.
## LaScBe3 (GGA-PBE)

Data for LaScBe3 after structural relaxation.

Properties
Space-group type: Pm-3m
E above lowest polymorph in eV/atom: 0.000
Calculated formation energy in kJ per mole of atoms: 85.4

abc: 4.7433 4.7433 4.7433
angles: 90.00 90.00 90.00
Fractional coordinates of all 5 atoms:
Sc  0.0000  0.0000  0.0000
Be  0.0000  0.5000  0.0000
Be  0.0000  0.0000  0.5000
Be  0.5000  0.0000  0.0000
La  0.5000  0.5000  0.5000



8.
## LaScBe2 (GGA-PBE)

Data for LaScBe2 after structural relaxation.

Properties
Space-group type: P4/mmm
E above lowest polymorph in eV/atom: 0.037
Calculated formation energy in kJ per mole of atoms: 9.6

abc: 3.3746 3.3748 6.8056
angles: 90.00 90.00 90.00
Fractional coordinates of all 4 atoms:
Sc  0.5000  0.5000  0.7500
Be  0.0000  0.0000  0.9338
Be  0.0000  0.0000  0.5662
La  0.5000  0.5000  0.2500



Please write out number 2 again, unchanged.
## La2ScBe (GGA-PBE)

Data for La2ScBe after structural relaxation.

Properties
Space-group type: I4/mmm
Calculated formation energy in kJ per mole of atoms: 24.8

abc: 5.6940 5.6940 5.6940
angles: 130.79 130.79 72.14
Fractional coordinates of all 4 atoms:
Sc  0.2500  0.7500  0.5000
Be  0.7500  0.2500  0.5000
La  0.0000  0.0000  0.0000
La  0.5000  0.5000  0.0000



- calculated formation energy of number 5 (LaScBe2)?
  48.3 kJ per mole of atoms